# 1
An optimized crystal structure of CsNiSbI2. Source: the Alexandria database, functional PBE-GGA.

abc: 6.0003 6.0003 4.8265
angles: 90.00 90.00 90.00
Closest atoms and distances in Å follow each position.
Positions (direct):
Cs: 0.0000 0.0000 0.0000  8 I 3.85, 4 Sb 4.24
Ni: 0.5000 0.5000 0.5000  2 Sb 2.41
Sb: 0.5000 0.5000 0.0000  2 Ni 2.41
I: 0.0000 0.5000 0.5000  2 Ni 3.00
I: 0.5000 0.0000 0.5000  2 Ni 3.00

Output
The calculation puts the density of states at the Fermi level at 0.656 states/eV/atom. The value obtained for the final energy is -15.4 eV per formula unit.


# 2
An optimized crystal structure of Li2Hg3Sb. Source: the Alexandria database, functional PBE-GGA.

abc: 7.5260 4.5381 16.7772
angles: 90.00 90.00 90.00
Closest atoms and distances in Å follow each position.
Positions (direct):
Li: 0.1636 0.2500 0.0108  3 Sb 2.89-2.99, 2 Hg 2.97, 1 Li 3.13
Li: 0.2042 0.7500 0.6875  2 Sb 2.99, 3 Hg 3.01-3.09, 1 Li 3.13
Li: 0.2958 0.2500 0.1875  2 Sb 2.99, 3 Hg 3.01-3.09, 1 Li 3.13
Li: 0.3364 0.7500 0.5108  3 Sb 2.89-2.99, 2 Hg 2.97, 1 Li 3.13
Li: 0.6636 0.2500 0.4892  3 Sb 2.89-2.99, 2 Hg 2.97, 1 Li 3.13
Li: 0.7042 0.7500 0.8125  2 Sb 2.99, 3 Hg 3.01-3.09, 1 Li 3.13
Li: 0.7958 0.2500 0.3125  2 Sb 2.99, 3 Hg 3.01-3.09, 1 Li 3.13
Li: 0.8364 0.7500 0.9892  3 Sb 2.89-2.99, 2 Hg 2.97, 1 Li 3.13
Hg: 0.0744 0.7500 0.3017  3 Hg 3.01-3.04, 1 Sb 3.02, 2 Li 3.09
Hg: 0.0878 0.2500 0.5342  3 Hg 2.87-3.01, 1 Sb 2.88, 2 Li 2.97
Hg: 0.1995 0.7500 0.8669  3 Li 3.01-3.32, 3 Hg 3.04-3.23, 2 Sb 3.11
Hg: 0.3005 0.2500 0.3669  3 Li 3.01-3.32, 3 Hg 3.04-3.23, 2 Sb 3.11
Hg: 0.4122 0.7500 0.0342  3 Hg 2.87-3.01, 1 Sb 2.88, 2 Li 2.97
Hg: 0.4256 0.2500 0.8017  3 Hg 3.01-3.04, 1 Sb 3.02, 2 Li 3.09
Hg: 0.5744 0.7500 0.1983  3 Hg 3.01-3.04, 1 Sb 3.02, 2 Li 3.09
Hg: 0.5878 0.2500 0.9658  3 Hg 2.87-3.01, 1 Sb 2.88, 2 Li 2.97
Hg: 0.6995 0.7500 0.6331  3 Li 3.01-3.32, 3 Hg 3.04-3.23, 2 Sb 3.11
Hg: 0.8005 0.2500 0.1331  3 Li 3.01-3.32, 3 Hg 3.04-3.23, 2 Sb 3.11
Hg: 0.9122 0.7500 0.4658  3 Hg 2.87-3.01, 1 Sb 2.88, 2 Li 2.97
Hg: 0.9256 0.2500 0.6983  3 Hg 3.01-3.04, 1 Sb 3.02, 2 Li 3.09
Sb: 0.0825 0.7500 0.1215  4 Hg 2.88-3.11, 5 Li 2.89-2.99
Sb: 0.4175 0.2500 0.6215  4 Hg 2.88-3.11, 5 Li 2.89-2.99
Sb: 0.5825 0.7500 0.3785  4 Hg 2.88-3.11, 5 Li 2.89-2.99
Sb: 0.9175 0.2500 0.8785  4 Hg 2.88-3.11, 5 Li 2.89-2.99

Output
The calculation puts the density of states at the Fermi level at 0.259 states/eV/atom. The value obtained for the final energy is -10.1 eV per formula unit.


# 3
An optimized crystal structure of LiHg3O. Source: the Alexandria database, functional PBE-GGA.

abc: 5.1396 5.1396 5.1396
angles: 90.00 90.00 90.00
Closest atoms and distances in Å follow each position.
Positions (direct):
Li: 0.0000 0.0000 0.0000  6 Hg 2.57
Hg: 0.0000 0.0000 0.5000  2 Li 2.57
Hg: 0.0000 0.5000 0.0000  2 Li 2.57
Hg: 0.5000 0.0000 0.0000  2 Li 2.57
O: 0.5000 0.5000 0.5000  12 Hg 3.63

Output
The excess energy over the best structure of this formula in the dataset is 0.171 eV per atom. The calculation puts the density of states at the Fermi level at 1.408 states/eV/atom. The value obtained for the final energy is -6.0 eV per formula unit.


# 4
An optimized crystal structure of BaTiRu3. Source: the Alexandria database, functional PBE-GGA.

abc: 4.7474 4.7474 4.7474
angles: 90.00 90.00 90.00
Closest atoms and distances in Å follow each position.
Positions (direct):
Ba: 0.0000 0.0000 0.0000  12 Ru 3.36
Ti: 0.5000 0.5000 0.5000  6 Ru 2.37
Ru: 0.0000 0.5000 0.5000  2 Ti 2.37
Ru: 0.5000 0.0000 0.5000  2 Ti 2.37
Ru: 0.5000 0.5000 0.0000  2 Ti 2.37

Output
The excess energy over the best structure of this formula in the dataset is 0.000 eV per atom. Its energy relative to the elements is 3.88 eV per formula unit. The calculation puts the density of states at the Fermi level at 2.243 states/eV/atom. The value obtained for the final energy is -33.8 eV per formula unit.


# 5
An optimized crystal structure of Ac12La5Tm2. Source: the Alexandria database, functional PBE-GGA.

abc: 11.4933 11.4933 6.7220
angles: 101.01 101.01 66.59
Closest atoms and distances in Å follow each position.
Positions (direct):
Ac: 0.0459 0.5643 0.7972  4 La 3.69-4.07, 1 Tm 3.69, 7 Ac 3.72-4.11
Ac: 0.0582 0.0582 0.2726  2 Tm 3.81, 6 Ac 3.83-4.18, 2 La 4.11-4.12
Ac: 0.1481 0.6496 0.3706  1 Tm 3.49, 3 La 3.70-3.90, 4 Ac 3.72-3.88
Ac: 0.3504 0.8519 0.6294  1 Tm 3.49, 3 La 3.70-3.90, 4 Ac 3.72-3.88
Ac: 0.3912 0.3912 0.9897  4 La 3.59-3.97, 2 Tm 3.67, 2 Ac 3.76
Ac: 0.4357 0.9541 0.2028  4 La 3.69-4.07, 1 Tm 3.69, 7 Ac 3.72-4.11
Ac: 0.5643 0.0459 0.7972  4 La 3.69-4.07, 1 Tm 3.69, 7 Ac 3.72-4.11
Ac: 0.6088 0.6088 0.0103  4 La 3.59-3.97, 2 Tm 3.67, 2 Ac 3.76
Ac: 0.6496 0.1481 0.3706  1 Tm 3.49, 3 La 3.70-3.90, 4 Ac 3.72-3.88
Ac: 0.8519 0.3504 0.6294  1 Tm 3.49, 3 La 3.70-3.90, 4 Ac 3.72-3.88
Ac: 0.9418 0.9418 0.7274  2 Tm 3.81, 6 Ac 3.83-4.18, 2 La 4.11-4.12
Ac: 0.9541 0.4357 0.2028  4 La 3.69-4.07, 1 Tm 3.69, 7 Ac 3.72-4.11
La: 0.1852 0.1852 0.8569  9 Ac 3.70-4.12, 2 La 3.79-3.95
La: 0.2875 0.2875 0.4369  8 Ac 3.69-4.04, 3 La 3.79-4.01
La: 0.5000 0.5000 0.5000  6 Ac 3.59-3.71, 2 La 4.01
La: 0.7125 0.7125 0.5631  8 Ac 3.69-4.04, 3 La 3.79-4.01
La: 0.8148 0.8148 0.1431  9 Ac 3.70-4.12, 2 La 3.79-3.95
Tm: 0.2606 0.7394 0.0000  8 Ac 3.49-3.81
Tm: 0.7394 0.2606 0.0000  8 Ac 3.49-3.81

Output
Its energy relative to the elements is 2.05 eV per formula unit. The calculation puts the density of states at the Fermi level at 1.574 states/eV/atom. The value obtained for the final energy is -80.8 eV per formula unit.


# 6
An optimized crystal structure of CaHI2N. Source: the Alexandria database, functional PBE-GGA.

abc: 6.1935 6.1935 4.8412
angles: 90.00 90.00 90.00
Closest atoms and distances in Å follow each position.
Positions (direct):
Ca: 0.0000 0.0000 0.0000  2 N 2.42
H: 0.5000 0.5000 0.5000  8 I 3.93, 4 N 4.38
I: 0.0000 0.5000 0.0000  2 Ca 3.10
I: 0.5000 0.0000 0.0000  2 Ca 3.10
N: 0.0000 0.0000 0.5000  2 Ca 2.42

Output
The excess energy over the best structure of this formula in the dataset is 0.120 eV per atom. The calculation puts the density of states at the Fermi level at 1.224 states/eV/atom. The value obtained for the final energy is -13.9 eV per formula unit.


# 7
An optimized crystal structure of AlRu3. Source: the Alexandria database, functional PBE-GGA.

abc: 8.7143 8.7143 8.7143
angles: 18.14 18.14 18.14
Closest atoms and distances in Å follow each position.
Positions (direct):
Al: 0.0000 0.0000 0.0000  6 Ru 2.65, 6 Al 2.75
Ru: 0.2509 0.2509 0.2509  3 Al 2.65, 9 Ru 2.69-2.75
Ru: 0.5000 0.5000 0.5000  12 Ru 2.69-2.75
Ru: 0.7491 0.7491 0.7491  3 Al 2.65, 9 Ru 2.69-2.75

Output
Its energy relative to the elements is -0.37 eV per formula unit. The calculation puts the density of states at the Fermi level at 1.082 states/eV/atom. The value obtained for the final energy is -31.9 eV per formula unit.


# 8
An optimized crystal structure of Ca4SbTeI2. Source: the Alexandria database, functional PBE-GGA.

abc: 7.8859 4.5891 7.9410
angles: 90.00 109.57 90.00
Closest atoms and distances in Å follow each position.
Positions (direct):
Ca: 0.2150 0.0000 0.2309  2 Sb 3.07, 1 Te 3.14, 3 I 3.34-3.42
Ca: 0.2189 0.5000 0.7469  1 Sb 3.06, 2 Te 3.13, 3 I 3.35-3.42
Ca: 0.7811 0.5000 0.2531  1 Sb 3.06, 2 Te 3.13, 3 I 3.35-3.42
Ca: 0.7850 0.0000 0.7691  2 Sb 3.07, 1 Te 3.14, 3 I 3.34-3.42
Sb: 0.0000 0.5000 0.0000  6 Ca 3.06-3.07
Te: 0.0000 0.0000 0.5000  6 Ca 3.13-3.14
I: 0.5000 0.0000 0.0000  6 Ca 3.34-3.35
I: 0.5000 0.5000 0.5000  6 Ca 3.42

Output
The calculation puts the density of states at the Fermi level at 0.370 states/eV/atom. The value obtained for the final energy is -28.7 eV per formula unit.


Question: Which of these has the lowest final energy?
Answer: Ac12La5Tm2